1.
First-principles (PBE-GGA) data for crystalline LaTb3SmHo at its relaxed geometry, as listed in Alexandria.

Unit cell a=10.359 b=10.359 c=7.058 alpha=90.72 beta=90.72 gamma=31.89
Positions (direct):
La1 0.145 0.145 0.028
La2 0.855 0.855 0.972
Tb1 0.022 0.022 0.737
Tb2 0.280 0.280 0.755
Tb3 0.336 0.336 0.272
Tb4 0.664 0.664 0.728
Tb5 0.720 0.720 0.245
Tb6 0.978 0.978 0.263
Sm1 0.447 0.447 0.733
Sm2 0.553 0.553 0.267
Ho1 0.149 0.149 0.460
Ho2 0.851 0.851 0.540

Its space group is C2/m (12). The total DFT energy (no corrections) comes out at -4.493 eV/atom.



2.
First-principles (PBE-GGA) data for crystalline CaTl2Cr2 at its relaxed geometry, as listed in Alexandria.

Unit cell a=8.046 b=8.046 c=3.251 alpha=90.00 beta=90.00 gamma=90.00
Positions (direct):
Ca1 0.000 0.000 0.000
Ca2 0.500 0.500 0.000
Tl1 0.195 0.305 0.500
Tl2 0.305 0.805 0.500
Tl3 0.695 0.195 0.500
Tl4 0.805 0.695 0.500
Cr1 0.083 0.583 0.000
Cr2 0.417 0.083 0.000
Cr3 0.583 0.917 0.000
Cr4 0.917 0.417 0.000

As for the energy above the most stable polymorph in this dataset: 74 meV per atom. Its space group is P4/mbm (127).



3.
First-principles (PBE-GGA) data for crystalline CoNiC2 at its relaxed geometry, as listed in Alexandria.

Unit cell a=5.276 b=5.276 c=5.276 alpha=131.82 beta=131.82 gamma=70.52
Positions (direct):
Co1 0.000 0.000 0.000
Co2 0.750 0.250 0.500
Ni1 0.250 0.750 0.500
Ni2 0.500 0.500 0.000
C1 0.114 0.625 0.989
C2 0.375 0.364 0.489
C3 0.636 0.125 0.011
C4 0.875 0.886 0.511

As for the energy above the most stable polymorph in this dataset: 0 meV per atom. Its space group is I-42d (122).



4.
First-principles (PBE-GGA) data for crystalline Tb2Dy3HoSb6 at its relaxed geometry, as listed in Alexandria.

Unit cell a=9.807 b=9.807 c=8.772 alpha=102.90 beta=102.90 gamma=25.84
Positions (direct):
Tb1 0.166 0.166 0.333
Tb2 0.834 0.834 0.667
Dy1 0.167 0.167 0.834
Dy2 0.500 0.500 0.500
Dy3 0.833 0.833 0.166
Ho1 0.500 0.500 0.000
Sb1 0.000 0.000 0.249
Sb2 0.000 0.000 0.751
Sb3 0.334 0.334 0.416
Sb4 0.334 0.334 0.918
Sb5 0.666 0.666 0.082
Sb6 0.666 0.666 0.584

As for the energy relative to the elements, uncorrected: -1135 meV per atom. Its space group is C2/m (12).



5.
First-principles (PBE-GGA) data for crystalline CaSnI2O at its relaxed geometry, as listed in Alexandria.

Unit cell a=6.328 b=6.328 c=4.141 alpha=90.00 beta=90.00 gamma=90.00
Positions (direct):
Ca1 0.000 0.000 0.000
Sn1 0.500 0.500 0.500
I1 0.000 0.500 0.500
I2 0.500 0.000 0.500
O1 0.500 0.500 0.000

As for the energy above the most stable polymorph in this dataset: 30 meV per atom. As for the energy relative to the elements, uncorrected: -758 meV per atom. Its space group is P4/mmm (123).



6.
First-principles (PBE-GGA) data for crystalline VRe2HRh at its relaxed geometry, as listed in Alexandria.

Unit cell a=3.895 b=3.895 c=3.920 alpha=90.00 beta=90.00 gamma=90.00
Positions (direct):
V1 0.000 0.000 0.000
Re1 0.000 0.500 0.500
Re2 0.500 0.000 0.500
H1 0.000 0.000 0.500
Rh1 0.500 0.500 0.000

Its space group is P4/mmm (123). The total DFT energy (no corrections) comes out at -8.985 eV/atom.



7.
First-principles (PBE-GGA) data for crystalline HfSc2CoC at its relaxed geometry, as listed in Alexandria.

Unit cell a=4.642 b=4.642 c=4.676 alpha=90.00 beta=90.00 gamma=90.00
Positions (direct):
Hf1 0.000 0.000 0.000
Sc1 0.000 0.500 0.500
Sc2 0.500 0.000 0.500
Co1 0.000 0.000 0.500
C1 0.500 0.500 0.000

Its space group is P4/mmm (123). The total DFT energy (no corrections) comes out at -6.779 eV/atom.



8.
First-principles (PBE-GGA) data for crystalline HgSb2As at its relaxed geometry, as listed in Alexandria.

Unit cell a=4.898 b=7.116 c=7.410 alpha=68.55 beta=76.95 gamma=76.07
Positions (direct):
Hg1 0.000 0.000 0.000
Hg2 0.456 0.893 0.462
Sb1 0.502 0.230 0.717
Sb2 0.531 0.624 0.139
Sb3 0.929 0.231 0.280
Sb4 0.979 0.489 0.541
As1 0.271 0.451 0.971
As2 0.917 0.742 0.799

As for the energy above the most stable polymorph in this dataset: 89 meV per atom. As for the energy relative to the elements, uncorrected: 120 meV per atom. Its space group is P1 (1).



9.
First-principles (PBE-GGA) data for crystalline DyYRuPt at its relaxed geometry, as listed in Alexandria.

Unit cell a=4.876 b=4.876 c=4.876 alpha=60.00 beta=60.00 gamma=60.00
Positions (direct):
Dy1 0.000 0.000 0.000
Y1 0.500 0.500 0.500
Ru1 0.750 0.750 0.750
Pt1 0.250 0.250 0.250

As for the energy above the most stable polymorph in this dataset: 44 meV per atom. Its space group is F-43m (216).



10.
First-principles (PBE-GGA) data for crystalline Ce2PuSc3P6 at its relaxed geometry, as listed in Alexandria.

Unit cell a=6.791 b=6.791 c=6.734 alpha=99.70 beta=99.70 gamma=119.98
Positions (direct):
Ce1 0.166 0.834 0.000
Ce2 0.834 0.166 0.000
Pu1 0.500 0.500 0.000
Sc1 0.000 0.000 0.500
Sc2 0.332 0.668 0.500
Sc3 0.668 0.332 0.500
P1 0.081 0.411 0.733
P2 0.259 0.259 0.267
P3 0.411 0.081 0.733
P4 0.589 0.919 0.267
P5 0.741 0.741 0.733
P6 0.919 0.589 0.267

Its space group is C2/m (12). The total DFT energy (no corrections) comes out at -7.894 eV/atom.



11.
First-principles (PBE-GGA) data for crystalline LiSiIrC2 at its relaxed geometry, as listed in Alexandria.

Unit cell a=3.651 b=3.651 c=4.384 alpha=90.00 beta=90.00 gamma=90.00
Positions (direct):
Li1 0.000 0.000 0.000
Si1 0.000 0.000 0.500
Ir1 0.500 0.500 0.000
C1 0.000 0.500 0.500
C2 0.500 0.000 0.500

As for the energy relative to the elements, uncorrected: 1730 meV per atom. Its space group is P4/mmm (123).



12.
First-principles (PBE-GGA) data for crystalline Nd2SnIr at its relaxed geometry, as listed in Alexandria.

Unit cell a=6.361 b=4.109 c=8.837 alpha=90.00 beta=109.19 gamma=90.00
Positions (direct):
Nd1 0.171 0.250 0.394
Nd2 0.259 0.750 0.047
Nd3 0.741 0.250 0.953
Nd4 0.829 0.750 0.606
Sn1 0.370 0.750 0.705
Sn2 0.630 0.250 0.295
Ir1 0.119 0.250 0.797
Ir2 0.881 0.750 0.203

As for the energy above the most stable polymorph in this dataset: 0 meV per atom. Its space group is P2_1/m (11).